Density functional theory data (PBE) for a relaxed NpPaOsRh crystal.

Properties
M_tot   1.024 μB/atom
Calculated volume   20.0 A^3/atom
Space group   F-43m (216)
Energy of formation   -20.5 kJ per mole of atoms

Geometry as CIF:
```
data_NpPaOsRh
_symmetry_space_group_name_H-M 'P 1'
_symmetry_Int_Tables_number 1
_symmetry_space_group_name_Hall 'P 1'
_cell_length_a 4.839
_cell_length_b 4.839
_cell_length_c 4.839
_cell_angle_alpha 60.00
_cell_angle_beta 60.00
_cell_angle_gamma 60.00
loop_
_atom_site_label
_atom_site_fract_x
_atom_site_fract_y
_atom_site_fract_z
Np1 0.250 0.250 0.250
Rh1 0.000 0.000 0.000
Pa1 0.750 0.750 0.750
Os1 0.500 0.500 0.500
```